(1)
A geometry-optimized TiOsS3 structure. Source: Alexandria, functional PBE.

## Properties
ρ	5.8	Mg/m³
E_form (uncorrected)	0.499	eV/atom
energy above the most stable polymorph in this dataset	0.00	kcal/mol of atoms

The structure in extended XYZ format:
```
5
Lattice="4.585 0.000 0.000 0.000 4.585 0.000 0.000 0.000 4.585" Properties=species:S:1:pos:R:3 pbc="T T T"
Os 0.000 0.000 0.000
S 2.292 0.000 0.000
S 0.000 0.000 2.292
S 0.000 2.292 0.000
Ti 2.292 2.292 2.292
```

=====

(2)
A geometry-optimized TiOsS3 structure. Source: Alexandria, functional PBE.

## Properties
ρ	5.5	Mg/m³
E_form (uncorrected)	0.706	eV/atom
energy above the most stable polymorph in this dataset	4.78	kcal/mol of atoms

The structure in extended XYZ format:
```
5
Lattice="4.652 0.000 0.000 0.000 4.652 0.000 0.000 0.000 4.652" Properties=species:S:1:pos:R:3 pbc="T T T"
Ti 0.000 0.000 0.000
Os 2.326 2.326 2.326
S 0.000 2.326 0.000
S 0.000 0.000 2.326
S 2.326 0.000 0.000
```

=====

(3)
A geometry-optimized TiOs2S structure. Source: Alexandria, functional PBE.

## Properties
ρ	9.7	Mg/m³
E_form (uncorrected)	0.611	eV/atom

The structure in extended XYZ format:
```
8
Lattice="-4.372 -1.565 3.117 1.972 -5.232 0.139 1.395 -2.309 5.815" Properties=species:S:1:pos:R:3 pbc="T T T"
Ti 0.000 0.000 0.000
Ti -2.089 -3.637 5.280
Os -1.948 -2.142 3.285
Os 0.846 -4.111 2.065
Os -1.139 -7.453 7.205
Os 0.231 -4.508 5.588
S -1.200 -3.399 1.628
S 1.084 -5.470 3.791
```

=====

(4)
A geometry-optimized TiOs3S structure. Source: Alexandria, functional PBE.

## Properties
ρ	13.3	Mg/m³
E_form (uncorrected)	0.789	eV/atom
energy above the most stable polymorph in this dataset	0.00	kcal/mol of atoms

The structure in extended XYZ format:
```
5
Lattice="4.334 0.000 0.000 0.000 4.334 0.000 0.000 0.000 4.334" Properties=species:S:1:pos:R:3 pbc="T T T"
Os 0.000 0.000 2.167
Os 0.000 2.167 0.000
Os 2.167 0.000 0.000
Ti 2.167 2.167 2.167
S 0.000 0.000 0.000
```

=====

(5)
A geometry-optimized Ti2OsS2 structure. Source: Alexandria, functional PBE.

## Properties
ρ	7.7	Mg/m³
E_form (uncorrected)	-0.205	eV/atom
energy above the most stable polymorph in this dataset	9.95	kcal/mol of atoms

The structure in extended XYZ format:
```
5
Lattice="-0.800 2.379 2.238 0.832 -2.080 2.508 6.329 2.448 2.185" Properties=species:S:1:pos:R:3 pbc="T T T"
Os 0.000 0.000 0.000
S 2.773 2.488 3.398
S 3.589 0.259 3.533
Ti 1.437 0.667 2.331
Ti 4.924 2.080 4.600
```

=====

(6)
A geometry-optimized TiOs3S structure. Source: Alexandria, functional PBE.

## Properties
ρ	11.2	Mg/m³
E_form (uncorrected)	2.285	eV/atom
energy above the most stable polymorph in this dataset	34.49	kcal/mol of atoms

The structure in extended XYZ format:
```
5
Lattice="-0.965 3.023 3.303 0.782 -3.213 3.169 4.408 1.232 0.160" Properties=species:S:1:pos:R:3 pbc="T T T"
Os 0.391 -1.606 1.585
Os -0.482 1.512 1.651
Os 2.204 0.616 0.080
S 2.113 0.521 3.316
Ti 0.000 0.000 0.000
```

=====

(7)
A geometry-optimized TlOsS2 structure. Source: Alexandria, functional PBE.

## Properties
ρ	9.8	Mg/m³
E_form (uncorrected)	0.529	eV/atom
energy above the most stable polymorph in this dataset	13.91	kcal/mol of atoms

The structure in extended XYZ format:
```
4
Lattice="-4.140 4.917 7.938 -5.141 2.166 8.556 -2.414 3.004 9.459" Properties=species:S:1:pos:R:3 pbc="T T T"
Os 0.000 0.000 0.000
S -0.860 0.742 1.909
S -10.835 9.345 24.045
Tl -5.848 5.043 12.977
```

=====

(8)
A geometry-optimized TlOs2S structure. Source: Alexandria, functional PBE.

## Properties
ρ	15.8	Mg/m³
E_form (uncorrected)	1.279	eV/atom
energy above the most stable polymorph in this dataset	10.32	kcal/mol of atoms

The structure in extended XYZ format:
```
4
Lattice="0.000 3.188 3.188 3.188 0.000 3.188 3.188 3.188 0.000" Properties=species:S:1:pos:R:3 pbc="T T T"
Tl 3.188 3.188 3.188
S 0.000 0.000 0.000
Os 1.594 1.594 1.594
Os 4.783 4.783 4.783
```